The following is a PBE+U calculation of a geometry-optimized ZrCrO4 structure, from Alexandria.

As for the total energy: -7.666 eV/atom. The magnetization comes out at 2.13 Bohr magnetons per cell. As for the density of states at the Fermi level: 2.975 states/eV per cell.

Cell lengths 3.4506, 3.4506, 5.4289 Å; angles 90.00, 90.00, 90.00 degrees
Closest atoms and distances in Å follow each position.
Space group P4/mmm (No. 123)
Symmetry-distinct sites (fractional):
Zr (0.0000, 0.0000, 0.0000) (multiplicity 1)  8 O 2.22
Cr (0.0000, 0.0000, 0.5000) (multiplicity 1)  8 O 2.17
O (0.0000, 0.5000, 0.2575) (multiplicity 4)  2 Cr 2.17, 2 Zr 2.22